Record 1
Material: PaReH
Method: DFT, PBE-GGA
State: relaxed

Values from the calculation:
* polymorph energy (0 for the lowest one): 0.313 eV/atom

Cell: 3.1076 3.1076 5.1143 Å, 107.69 107.69 90.00°
With the nearest neighbours (Å) after each atom.
Atoms (fractional coordinates):
Pa 0.7107 0.7107 0.4214  4 H 2.33
Re 0.9940 0.9940 0.9880  1 Pa 2.62, 5 H 2.78-2.86
H 0.2953 0.2953 0.5906  4 Pa 2.33

***

Record 2
Material: HoMgCuPt
Method: DFT, PBE-GGA
State: relaxed

Values from the calculation:
* calculated formation energy: -256 kJ/mol of formula units

Cell: 4.7191 4.7191 4.7191 Å, 60.00 60.00 60.00°
With the nearest neighbours (Å) after each atom.
Atoms (fractional coordinates):
Ho 0.0000 0.0000 0.0000  4 Cu 2.89, 4 Pt 2.89
Cu 0.2500 0.2500 0.2500  4 Mg 2.89, 4 Ho 2.89
Pt 0.7500 0.7500 0.7500  4 Mg 2.89, 4 Ho 2.89
Mg 0.5000 0.5000 0.5000  4 Pt 2.89, 4 Cu 2.89

***

Record 3
Material: CaAc5Ag6
Method: DFT, PBE-GGA
State: relaxed

Values from the calculation:
* calculated formation energy: -309 kJ/mol of formula units

Cell: 5.5716 7.8142 8.8015 Å, 90.00 71.55 90.00°
With the nearest neighbours (Å) after each atom.
Atoms (fractional coordinates):
Ac 0.6676 0.5000 0.6647  8 Ag 3.43-3.44
Ag 0.1645 0.7553 0.6712  1 Ca 3.35, 7 Ac 3.38-3.45
Ca 0.0000 0.0000 0.0000  8 Ag 3.35-3.39
Ac 0.6639 0.0000 0.6722  8 Ag 3.35-3.45
Ag 0.1644 0.2447 0.6712  1 Ca 3.35, 7 Ac 3.38-3.45
Ag 0.8355 0.2447 0.3288  1 Ca 3.35, 7 Ac 3.38-3.45
Ag 0.5000 0.7529 0.0000  6 Ac 3.35-3.43, 2 Ca 3.39
Ac 0.0000 0.5000 0.0000  8 Ag 3.39-3.42
Ac 0.3361 0.0000 0.3278  8 Ag 3.35-3.45
Ag 0.5000 0.2471 0.0000  6 Ac 3.35-3.43, 2 Ca 3.39
Ac 0.3324 0.5000 0.3353  8 Ag 3.43-3.44
Ag 0.8356 0.7553 0.3288  1 Ca 3.35, 7 Ac 3.38-3.45

***

Record 4
Material: PmSmYIn
Method: DFT, PBE-GGA
State: relaxed

Values from the calculation:
* calculated formation energy: -106 kJ/mol of formula units
* polymorph energy (0 for the lowest one): 0.000 eV/atom

Cell: 4.8779 4.8834 4.9962 Å, 90.00 90.00 90.00°
With the nearest neighbours (Å) after each atom.
Atoms (fractional coordinates):
Sm 0.0000 0.5000 0.5000  4 Pm 3.45, 4 In 3.49, 4 Y 3.49
In 0.5000 0.5000 0.0000  4 Y 3.45, 4 Sm 3.49, 4 Pm 3.49
Y 0.0000 0.0000 0.0000  4 In 3.45, 4 Pm 3.49, 4 Sm 3.49
Pm 0.5000 0.0000 0.5000  4 Sm 3.45, 4 Y 3.49, 4 In 3.49

***

Record 5
Material: Dy3Ge5Te12
Method: DFT, PBE-GGA
State: relaxed

Values from the calculation:
* formation energy (no corrections): -9.6 eV per formula unit

Cell: 15.0213 15.0213 15.0213 Å, 109.47 109.47 109.47°
With the nearest neighbours (Å) after each atom.
Atoms (fractional coordinates):
Ge 0.3750 0.2500 0.1250  4 Te 2.70
Te 0.9573 0.3684 0.2824  2 Ge 2.70-2.91
Te 0.5889 0.6316 0.4140  2 Ge 2.70-2.91
Dy 0.2500 0.6250 0.8750  8 Te 3.24-3.28
Dy 0.2500 0.1250 0.3750  8 Te 3.24-3.28
Te 0.0860 0.1749 0.2176  2 Ge 2.70-2.91
Te 0.9111 0.8251 0.5427  2 Ge 2.70-2.91
Te 0.6749 0.2176 0.5860  2 Ge 2.70-2.91
Te 0.5889 0.9573 0.6749  2 Ge 2.70-2.91
Ge 0.1250 0.7500 0.3750  4 Te 2.70
Dy 0.1250 0.2500 0.8750  8 Te 3.24-3.28
Ge 0.0000 0.5000 0.5000  6 Te 2.91
Te 0.6749 0.4573 0.5889  2 Ge 2.70-2.91
Te 0.1749 0.0889 0.9573  2 Ge 2.70-2.91
Dy 0.8750 0.7500 0.1250  8 Te 3.24-3.28
Te 0.1316 0.4140 0.0889  2 Ge 2.70-2.91
Te 0.6316 0.0427 0.2176  2 Ge 2.70-2.91
Ge 0.0000 0.0000 0.0000  6 Te 2.91
Ge 0.5000 0.5000 0.0000  6 Te 2.91
Te 0.4111 0.0427 0.3251  2 Ge 2.70-2.91
Ge 0.7500 0.6250 0.3750  4 Te 2.70
Te 0.7824 0.3251 0.9140  2 Ge 2.70-2.91
Ge 0.8750 0.6250 0.7500  4 Te 2.70
Dy 0.1250 0.8750 0.7500  8 Te 3.24-3.28
Dy 0.3750 0.7500 0.6250  8 Te 3.24-3.28
Ge 0.6250 0.8750 0.2500  4 Te 2.70
Ge 0.0000 0.0000 0.5000  6 Te 2.91
Te 0.2176 0.6749 0.0860  2 Ge 2.70-2.91
Te 0.4111 0.3684 0.5860  2 Ge 2.70-2.91
Te 0.2176 0.5427 0.6316  2 Ge 2.70-2.91
Te 0.3251 0.5427 0.4111  2 Ge 2.70-2.91
Ge 0.3750 0.1250 0.7500  4 Te 2.70
Te 0.4573 0.6749 0.0889  2 Ge 2.70-2.91
Te 0.0427 0.6316 0.7176  2 Ge 2.70-2.91
Dy 0.7500 0.3750 0.1250  8 Te 3.24-3.28
Te 0.7824 0.4573 0.3684  2 Ge 2.70-2.91
Te 0.8251 0.9111 0.0427  2 Ge 2.70-2.91
Te 0.1316 0.7176 0.5427  2 Ge 2.70-2.91
Te 0.1749 0.0860 0.7176  2 Ge 2.70-2.91
Te 0.5427 0.3251 0.9111  2 Ge 2.70-2.91
Ge 0.5000 0.0000 0.5000  6 Te 2.91
Te 0.8684 0.5860 0.9111  2 Ge 2.70-2.91
Dy 0.3750 0.6250 0.2500  8 Te 3.24-3.28
Te 0.5860 0.8684 0.4111  2 Ge 2.70-2.91
Te 0.7176 0.5860 0.1749  2 Ge 2.70-2.91
Ge 0.2500 0.3750 0.6250  4 Te 2.70
Te 0.9140 0.0889 0.6316  2 Ge 2.70-2.91
Te 0.0427 0.4111 0.8251  2 Ge 2.70-2.91
Te 0.6316 0.5889 0.9140  2 Ge 2.70-2.91
Te 0.2824 0.8684 0.9573  2 Ge 2.70-2.91
Ge 0.5000 0.0000 0.0000  6 Te 2.91
Te 0.0889 0.9140 0.1316  2 Ge 2.70-2.91
Ge 0.5000 0.5000 0.5000  6 Te 2.91
Te 0.5860 0.7176 0.6749  2 Ge 2.70-2.91
Te 0.3684 0.9573 0.7824  2 Ge 2.70-2.91
Ge 0.2500 0.8750 0.1250  4 Te 2.70
Te 0.8684 0.2824 0.4573  2 Ge 2.70-2.91
Dy 0.7500 0.8750 0.6250  8 Te 3.24-3.28
Te 0.9573 0.5889 0.1749  2 Ge 2.70-2.91
Te 0.9111 0.0860 0.8684  2 Ge 2.70-2.91
Te 0.7176 0.1316 0.0427  2 Ge 2.70-2.91
Te 0.3251 0.7824 0.4140  2 Ge 2.70-2.91
Te 0.0889 0.1749 0.4573  2 Ge 2.70-2.91
Te 0.9140 0.8251 0.7824  2 Ge 2.70-2.91
Te 0.4140 0.2824 0.3251  2 Ge 2.70-2.91
Te 0.3684 0.4111 0.0860  2 Ge 2.70-2.91
Ge 0.8750 0.2500 0.6250  4 Te 2.70
Ge 0.0000 0.5000 0.0000  6 Te 2.91
Ge 0.7500 0.1250 0.8750  4 Te 2.70
Te 0.4140 0.1316 0.5889  2 Ge 2.70-2.91
Te 0.0860 0.9111 0.3684  2 Ge 2.70-2.91
Te 0.2824 0.4140 0.8251  2 Ge 2.70-2.91
Dy 0.6250 0.2500 0.3750  8 Te 3.24-3.28
Dy 0.6250 0.3750 0.7500  8 Te 3.24-3.28
Ge 0.6250 0.7500 0.8750  4 Te 2.70
Te 0.5427 0.2176 0.1316  2 Ge 2.70-2.91
Te 0.4573 0.7824 0.8684  2 Ge 2.70-2.91
Te 0.8251 0.9140 0.2824  2 Ge 2.70-2.91
Ge 0.1250 0.3750 0.2500  4 Te 2.70
Dy 0.8750 0.1250 0.2500  8 Te 3.24-3.28

***

Record 6
Material: ErTiCoRu
Method: DFT, PBE-GGA
State: relaxed

Values from the calculation:
* calculated formation energy: -131 kJ/mol of formula units

Cell: 4.5089 4.5089 4.5089 Å, 60.00 60.00 60.00°
With the nearest neighbours (Å) after each atom.
Atoms (fractional coordinates):
Co 0.5000 0.5000 0.5000  4 Er 2.76, 4 Ti 2.76
Ti 0.2500 0.2500 0.2500  4 Co 2.76, 4 Ru 2.76
Er 0.7500 0.7500 0.7500  4 Co 2.76, 4 Ru 2.76
Ru 0.0000 0.0000 0.0000  4 Er 2.76, 4 Ti 2.76